First-principles (GGA-PBE) data for NdDyThIn after structural relaxation, as listed in the Alexandria database.

Lattice parameters (Å, degrees): 7.8039 7.8039 7.8039 90.00 90.00 90.00
Atoms (fractional coordinates):
Nd (0.0000, 0.0000, 0.0000)
Nd (0.0000, 0.5000, 0.5000)
Nd (0.5000, 0.0000, 0.5000)
Nd (0.5000, 0.5000, 0.0000)
Dy (0.0000, 0.0000, 0.5000)
Dy (0.0000, 0.5000, 0.0000)
Dy (0.5000, 0.0000, 0.0000)
Dy (0.5000, 0.5000, 0.5000)
Th (0.2500, 0.2500, 0.2500)
Th (0.2500, 0.7500, 0.7500)
Th (0.7500, 0.2500, 0.7500)
Th (0.7500, 0.7500, 0.2500)
In (0.2500, 0.2500, 0.7500)
In (0.2500, 0.7500, 0.2500)
In (0.7500, 0.2500, 0.2500)
In (0.7500, 0.7500, 0.7500)

Computed properties:
Symmetry: No. 216
Formation energy from the elements (eV/atom): -0.037
Magnetization (μB/f.u.): 0.0
Volume (Å³ per atom): 29.7

First-principles (GGA-PBE) data for NdDyTiIn after structural relaxation, as listed in the Alexandria database.

Lattice parameters (Å, degrees): 7.5340 7.5340 7.5340 90.00 90.00 90.00
Atoms (fractional coordinates):
Nd (0.0000, 0.0000, 0.0000)
Nd (0.0000, 0.5000, 0.5000)
Nd (0.5000, 0.0000, 0.5000)
Nd (0.5000, 0.5000, 0.0000)
Dy (0.0000, 0.0000, 0.5000)
Dy (0.0000, 0.5000, 0.0000)
Dy (0.5000, 0.0000, 0.0000)
Dy (0.5000, 0.5000, 0.5000)
Ti (0.2500, 0.2500, 0.2500)
Ti (0.2500, 0.7500, 0.7500)
Ti (0.7500, 0.2500, 0.7500)
Ti (0.7500, 0.7500, 0.2500)
In (0.2500, 0.2500, 0.7500)
In (0.2500, 0.7500, 0.2500)
In (0.7500, 0.2500, 0.2500)
In (0.7500, 0.7500, 0.7500)

Computed properties:
Symmetry: No. 216
Formation energy from the elements (eV/atom): -0.067
Magnetization (μB/f.u.): 2.5
Volume (Å³ per atom): 26.7